Here is an optimized crystal structure of CoNiS2Br from Alexandria. Energies are from GGA-PBE.

```
data_CoNiS2Br
_chemical_formula_sum 'Co1 Ni1 S2 Br1'
_space_group_name_H-M_alt 'P 4/m m m'
_space_group_IT_number 123
_space_group_name_Hall '-P 4 2'
_cell_length_a 4.365
_cell_length_b 4.365
_cell_length_c 5.150
_cell_angle_alpha 90.00
_cell_angle_beta 90.00
_cell_angle_gamma 90.00
loop_
_atom_site_label
_atom_site_fract_x
_atom_site_fract_y
_atom_site_fract_z
Co1 0.000 0.000 0.000
Ni1 0.500 0.500 0.500
S1 0.000 0.500 0.500
Br1 0.500 0.500 0.000
```

## Properties
Energy relative to the elements, uncorrected: 0.693 eV per atom
D(E_F): 7.65 states/eV/f.u.
DFT total energy: -3.87 eV per atom
Total magnetic moment: 0.69 μB/atom